# La4Sb2N (PBE, relaxed)
# **Total energy**: -6.30 eV/atom
# **Polymorph energy (0 for the lowest one)**: 0 meV per atom
# **D(E_F)**: 16.375 states/eV/cell
# **Calculated density**: 6524 kg/m³
# **Total moment**: 0.00 μB/cell
data_La4Sb2N
_chemical_formula_sum 'La8 Sb4 N2'
_cell_length_a 4.926
_cell_length_b 4.926
_cell_length_c 17.061
_cell_angle_alpha 90.00
_cell_angle_beta 90.00
_cell_angle_gamma 90.00
_symmetry_space_group_name_H-M 'I 4/m m m'
_symmetry_Int_Tables_number 139
_symmetry_space_group_name_Hall '-I 4 2'
loop_
_atom_site_label
_atom_site_fract_x
_atom_site_fract_y
_atom_site_fract_z
_atom_site_occupancy
La1 0.000 0.000 0.165 1
La2 0.000 0.500 0.000 1
Sb1 0.000 0.000 0.358 1
N1 0.000 0.000 0.000 1